Material: DyY4In
Method: DFT, PBE
State: relaxed

Structure (CIF):
```
data_DyY4In
_symmetry_space_group_name_H-M 'P 1'
_symmetry_Int_Tables_number 1
_cell_length_a 3.587
_cell_length_b 3.587
_cell_length_c 14.257
_cell_angle_alpha 90.00
_cell_angle_beta 90.00
_cell_angle_gamma 90.00
loop_
_symmetry_equiv_pos_as_xyz
'x,y,z'
loop_
_atom_site_label
_atom_site_fract_x
_atom_site_fract_y
_atom_site_fract_z
Y1 0.500 0.500 0.146
Y2 0.000 0.000 0.675
Y3 0.000 0.000 0.325
Y4 0.500 0.500 0.854
In1 0.000 0.000 0.000
Dy1 0.500 0.500 0.500
```

Results
- V (Å³/cell) = 183.5
- space group = No. 123
- ρ (g/cm3) = 5.729
- total magnetic moment (μB per formula unit) = 0.0
- calculated formation energy (eV per atom) = -0.162
- ΔE to the lowest computed polymorph (kJ/mol of formula units) = 0